# 1
Compound: Ac2Pt2O5
Source: OQMD via LeMat-Bulk
Functional: PBE
Structure: optimized geometry

Results
space group: P4/mmm, No. 123
energy above the lowest structure with this stoichiometry: 0.5715 eV/atom

Lattice parameters (Å, degrees): 3.833 3.833 10.034 90.00 90.00 90.00
Positions (direct):
Ac  0.000  0.000  0.238
Ac  0.000  0.000  0.762
Pt  0.500  0.500  0.000
Pt  0.500  0.500  0.500
O  0.000  0.000  0.000
O  0.000  0.500  0.381
O  0.000  0.500  0.619
O  0.500  0.000  0.381
O  0.500  0.000  0.619

# 2
Compound: AcPtO3
Source: OQMD via LeMat-Bulk
Functional: PBE
Structure: optimized geometry

Results
space group: R-3, No. 148

Lattice parameters (Å, degrees): 6.034 6.034 6.034 59.29 59.29 59.29
Positions (direct):
Ac  0.128  0.128  0.128
Ac  0.872  0.872  0.872
Pt  0.342  0.342  0.342
Pt  0.658  0.658  0.658
O  0.053  0.706  0.460
O  0.294  0.540  0.947
O  0.460  0.053  0.706
O  0.540  0.947  0.294
O  0.706  0.460  0.053
O  0.947  0.294  0.540

# 3
Compound: AcPt2O4
Source: OQMD via LeMat-Bulk
Functional: PBE
Structure: optimized geometry

Results
space group: Fd-3m, No. 227

Lattice parameters (Å, degrees): 6.705 6.705 6.705 60.00 60.00 60.00
Positions (direct):
Ac  0.125  0.125  0.125
Ac  0.875  0.875  0.875
Pt  0.000  0.500  0.500
Pt  0.500  0.000  0.500
Pt  0.500  0.500  0.000
Pt  0.500  0.500  0.500
O  0.273  0.273  0.273
O  0.273  0.273  0.681
O  0.273  0.681  0.273
O  0.319  0.727  0.727
O  0.681  0.273  0.273
O  0.727  0.319  0.727
O  0.727  0.727  0.319
O  0.727  0.727  0.727

# 4
Compound: Ac2Pt2O5
Source: OQMD via LeMat-Bulk
Functional: PBE
Structure: optimized geometry

Results
space group: P4/mmm, No. 123
energy above the lowest structure with this stoichiometry: 0.0000 eV/atom

Lattice parameters (Å, degrees): 4.160 4.160 7.342 90.00 90.00 90.00
Positions (direct):
Ac  0.000  0.000  0.000
Ac  0.000  0.000  0.500
Pt  0.500  0.500  0.195
Pt  0.500  0.500  0.805
O  0.000  0.500  0.236
O  0.000  0.500  0.764
O  0.500  0.000  0.236
O  0.500  0.000  0.764
O  0.500  0.500  0.500

# 5
Compound: AcRe2O4
Source: OQMD via LeMat-Bulk
Functional: PBE
Structure: optimized geometry

Results
space group: Fd-3m, No. 227

Lattice parameters (Å, degrees): 6.567 6.567 6.567 60.00 60.00 60.00
Positions (direct):
Ac  0.125  0.125  0.125
Ac  0.875  0.875  0.875
Re  0.000  0.500  0.500
Re  0.500  0.000  0.500
Re  0.500  0.500  0.000
Re  0.500  0.500  0.500
O  0.276  0.276  0.276
O  0.276  0.276  0.673
O  0.276  0.673  0.276
O  0.327  0.724  0.724
O  0.673  0.276  0.276
O  0.724  0.327  0.724
O  0.724  0.724  0.327
O  0.724  0.724  0.724

# 6
Compound: AcReO3
Source: OQMD via LeMat-Bulk
Functional: PBE
Structure: optimized geometry

Results
space group: Pnma, No. 62

Lattice parameters (Å, degrees): 5.978 8.046 5.556 90.00 90.00 90.00
Positions (direct):
Ac  0.057  0.250  0.018
Ac  0.443  0.750  0.518
Ac  0.557  0.250  0.482
Ac  0.943  0.750  0.982
Re  0.000  0.000  0.500
Re  0.000  0.500  0.500
Re  0.500  0.000  0.000
Re  0.500  0.500  0.000
O  0.019  0.750  0.424
O  0.207  0.536  0.801
O  0.207  0.964  0.801
O  0.293  0.036  0.301
O  0.293  0.464  0.301
O  0.481  0.250  0.924
O  0.519  0.750  0.076
O  0.707  0.536  0.699
O  0.707  0.964  0.699
O  0.793  0.036  0.199
O  0.793  0.464  0.199
O  0.981  0.250  0.576

# 7
Compound: AcReO3
Source: OQMD via LeMat-Bulk
Functional: PBE
Structure: optimized geometry

Results
space group: P4mm, No. 99

Lattice parameters (Å, degrees): 4.031 4.031 4.058 90.00 90.00 90.00
Positions (direct):
Ac  0.000  0.000  0.000
Re  0.500  0.500  0.509
O  0.000  0.500  0.513
O  0.500  0.000  0.513
O  0.500  0.500  0.009

# 8
Compound: AcReO5
Source: OQMD via LeMat-Bulk
Functional: PBE
Structure: optimized geometry

Results
space group: C2/c, No. 15

Lattice parameters (Å, degrees): 5.772 5.772 7.722 109.38 109.38 71.55
Positions (direct):
Ac  0.053  0.947  0.750
Ac  0.947  0.053  0.250
Re  0.500  0.500  0.000
Re  0.500  0.500  0.500
O  0.217  0.769  0.034
O  0.231  0.783  0.466
O  0.276  0.296  0.392
O  0.296  0.276  0.892
O  0.443  0.557  0.750
O  0.557  0.443  0.250
O  0.704  0.724  0.108
O  0.724  0.704  0.608
O  0.769  0.217  0.534
O  0.783  0.231  0.966

# 9
Compound: AcReO3
Source: OQMD via LeMat-Bulk
Functional: PBE
Structure: optimized geometry

Results
space group: R-3c, No. 167

Lattice parameters (Å, degrees): 5.558 5.558 5.558 63.45 63.45 63.45
Positions (direct):
Ac  0.250  0.250  0.250
Ac  0.750  0.750  0.750
Re  0.000  0.000  0.000
Re  0.500  0.500  0.500
O  0.178  0.750  0.322
O  0.250  0.678  0.822
O  0.322  0.178  0.750
O  0.678  0.822  0.250
O  0.750  0.322  0.178
O  0.822  0.250  0.678

# 10
Compound: Ac2ReO6
Source: OQMD via LeMat-Bulk
Functional: PBE
Structure: optimized geometry

Results
space group: P2_1/c, No. 14

Lattice parameters (Å, degrees): 5.656 6.496 9.122 90.00 122.20 90.00
Positions (direct):
Ac  0.215  0.090  0.255
Ac  0.215  0.410  0.755
Ac  0.785  0.590  0.245
Ac  0.785  0.910  0.745
Re  0.500  0.000  0.000
Re  0.500  0.500  0.500
O  0.162  0.147  0.956
O  0.162  0.353  0.456
O  0.301  0.737  0.935
O  0.301  0.763  0.435
O  0.388  0.046  0.765
O  0.388  0.454  0.265
O  0.612  0.546  0.735
O  0.612  0.954  0.235
O  0.699  0.237  0.565
O  0.699  0.263  0.065
O  0.838  0.647  0.544
O  0.838  0.853  0.044

# 11
Compound: AcReO3
Source: OQMD via LeMat-Bulk
Functional: PBE
Structure: optimized geometry

Results
space group: R-3, No. 148

Lattice parameters (Å, degrees): 6.030 6.030 6.030 58.29 58.29 58.29
Positions (direct):
Ac  0.133  0.133  0.133
Ac  0.867  0.867  0.867
Re  0.337  0.337  0.337
Re  0.663  0.663  0.663
O  0.063  0.698  0.447
O  0.302  0.553  0.937
O  0.447  0.063  0.698
O  0.553  0.937  0.302
O  0.698  0.447  0.063
O  0.937  0.302  0.553

# 12
Compound: AcSmO3
Source: OQMD via LeMat-Bulk
Functional: PBE
Structure: optimized geometry

Results
space group: P4mm, No. 99

Lattice parameters (Å, degrees): 4.197 4.197 5.114 90.00 90.00 90.00
Positions (direct):
Ac  0.000  0.000  0.000
Sm  0.500  0.500  0.577
O  0.000  0.500  0.733
O  0.500  0.000  0.733
O  0.500  0.500  0.148

Number 1: VASP energy -6.232 eV/atom, size of the total moment 0.004 μB per atom. Number 2: VASP energy -6.566 eV/atom, size of the total moment 0.195 μB per atom. Number 3: VASP energy -6.101 eV/atom, size of the total moment 0.046 μB per atom. Number 4: VASP energy -6.804 eV/atom, size of the total moment 0.000 μB per atom. Number 5: VASP energy -8.137 eV/atom, size of the total moment 0.429 μB per atom. Number 6: VASP energy -8.305 eV/atom, size of the total moment 0.215 μB per atom. Number 7: VASP energy -8.238 eV/atom, size of the total moment 0.164 μB per atom. Number 8: VASP energy -8.130 eV/atom, size of the total moment 0.000 μB per atom. Number 9: VASP energy -8.294 eV/atom, size of the total moment 0.275 μB per atom. Number 10: VASP energy -8.233 eV/atom, size of the total moment 0.111 μB per atom. Number 11: VASP energy -8.059 eV/atom, size of the total moment 0.400 μB per atom. Number 12: VASP energy -7.936 eV/atom, size of the total moment 0.000 μB per atom.